(1)
# NaRhSe2Br (PBE, optimized geometry)
# - SG: P4/mmm, No. 123
# - V: 136.5 Å³/cell
# - Energy above the most stable polymorph in this dataset: 1180 meV/atom
# - Total magnetization: 3.34 μB/cell
data_NaRhSe2Br
_symmetry_space_group_name_H-M 'P 1'
_symmetry_Int_Tables_number 1
_cell_length_a 5.086
_cell_length_b 5.086
_cell_length_c 5.275
_cell_angle_alpha 90.00
_cell_angle_beta 90.00
_cell_angle_gamma 90.00
loop_
_symmetry_equiv_pos_as_xyz
'x,y,z'
loop_
_atom_site_label
_atom_site_type_symbol
_atom_site_fract_x
_atom_site_fract_y
_atom_site_fract_z
_atom_site_occupancy
Na1 Na 0.000 0.000 0.000 1
Rh1 Rh 0.500 0.500 0.500 1
Se1 Se 0.000 0.500 0.000 1
Se2 Se 0.500 0.000 0.000 1
Br1 Br 0.000 0.000 0.500 1

(2)
# NaRhSeBr2 (PBE, optimized geometry)
# - SG: P4/mmm, No. 123
# - V: 135.5 Å³/cell
# - Energy above the most stable polymorph in this dataset: 0 meV/atom
# - Total magnetization: 0.00 μB/cell
data_NaRhSeBr2
_symmetry_space_group_name_H-M 'P 1'
_symmetry_Int_Tables_number 1
_cell_length_a 5.378
_cell_length_b 5.378
_cell_length_c 4.684
_cell_angle_alpha 90.00
_cell_angle_beta 90.00
_cell_angle_gamma 90.00
loop_
_symmetry_equiv_pos_as_xyz
'x,y,z'
loop_
_atom_site_label
_atom_site_type_symbol
_atom_site_fract_x
_atom_site_fract_y
_atom_site_fract_z
_atom_site_occupancy
Na1 Na 0.000 0.000 0.000 1
Rh1 Rh 0.500 0.500 0.500 1
Se1 Se 0.500 0.500 0.000 1
Br1 Br 0.000 0.500 0.500 1
Br2 Br 0.500 0.000 0.500 1

(3)
# NaRhSeBr2 (PBE, optimized geometry)
# - SG: P4/mmm, No. 123
# - V: 148.4 Å³/cell
# - Energy above the most stable polymorph in this dataset: 1094 meV/atom
# - Total magnetization: 4.03 μB/cell
data_NaRhSeBr2
_symmetry_space_group_name_H-M 'P 1'
_symmetry_Int_Tables_number 1
_cell_length_a 5.265
_cell_length_b 5.265
_cell_length_c 5.355
_cell_angle_alpha 90.00
_cell_angle_beta 90.00
_cell_angle_gamma 90.00
loop_
_symmetry_equiv_pos_as_xyz
'x,y,z'
loop_
_atom_site_label
_atom_site_type_symbol
_atom_site_fract_x
_atom_site_fract_y
_atom_site_fract_z
_atom_site_occupancy
Na1 Na 0.000 0.000 0.000 1
Rh1 Rh 0.500 0.500 0.500 1
Se1 Se 0.000 0.000 0.500 1
Br1 Br 0.000 0.500 0.000 1
Br2 Br 0.500 0.000 0.000 1

(4)
# NaRhSe2Br (PBE, optimized geometry)
# - SG: P4/mmm, No. 123
# - V: 129.8 Å³/cell
# - Energy above the most stable polymorph in this dataset: 0 meV/atom
# - Total magnetization: 0.06 μB/cell
data_NaRhSe2Br
_symmetry_space_group_name_H-M 'P 1'
_symmetry_Int_Tables_number 1
_cell_length_a 4.861
_cell_length_b 4.861
_cell_length_c 5.492
_cell_angle_alpha 90.00
_cell_angle_beta 90.00
_cell_angle_gamma 90.00
loop_
_symmetry_equiv_pos_as_xyz
'x,y,z'
loop_
_atom_site_label
_atom_site_type_symbol
_atom_site_fract_x
_atom_site_fract_y
_atom_site_fract_z
_atom_site_occupancy
Na1 Na 0.000 0.000 0.000 1
Rh1 Rh 0.500 0.500 0.500 1
Se1 Se 0.000 0.500 0.500 1
Se2 Se 0.500 0.000 0.500 1
Br1 Br 0.500 0.500 0.000 1

(5)
# NaTc2RhBr (PBE, optimized geometry)
# - SG: P4/mmm, No. 123
# - V: 118.4 Å³/cell
# - Total magnetization: 8.99 μB/cell
data_NaTc2RhBr
_symmetry_space_group_name_H-M 'P 1'
_symmetry_Int_Tables_number 1
_cell_length_a 4.986
_cell_length_b 4.986
_cell_length_c 4.764
_cell_angle_alpha 90.00
_cell_angle_beta 90.00
_cell_angle_gamma 90.00
loop_
_symmetry_equiv_pos_as_xyz
'x,y,z'
loop_
_atom_site_label
_atom_site_type_symbol
_atom_site_fract_x
_atom_site_fract_y
_atom_site_fract_z
_atom_site_occupancy
Na1 Na 0.000 0.000 0.000 1
Tc1 Tc 0.000 0.500 0.000 1
Tc2 Tc 0.500 0.000 0.000 1
Rh1 Rh 0.500 0.500 0.500 1
Br1 Br 0.000 0.000 0.500 1

(6)
# Na2TlRhBr6 (PBE, optimized geometry)
# - SG: P1, No. 1
# - V: 311.3 Å³/cell
# - Total magnetization: 0.00 μB/cell
data_Na2TlRhBr6
_symmetry_space_group_name_H-M 'P 1'
_symmetry_Int_Tables_number 1
_cell_length_a 7.358
_cell_length_b 7.364
_cell_length_c 7.875
_cell_angle_alpha 62.17
_cell_angle_beta 62.17
_cell_angle_gamma 60.03
loop_
_symmetry_equiv_pos_as_xyz
'x,y,z'
loop_
_atom_site_label
_atom_site_type_symbol
_atom_site_fract_x
_atom_site_fract_y
_atom_site_fract_z
_atom_site_occupancy
Na1 Na 0.000 0.000 0.000 1
Na2 Na 0.479 0.477 0.566 1
Tl1 Tl 0.288 0.288 0.136 1
Rh1 Rh 0.805 0.805 0.585 1
Br1 Br 0.021 0.724 0.802 1
Br2 Br 0.163 0.617 0.357 1
Br3 Br 0.453 0.020 0.803 1
Br4 Br 0.617 0.863 0.357 1
Br5 Br 0.725 0.453 0.803 1
Br6 Br 0.864 0.163 0.357 1

(7)
# NaTlRhBr6 (PBE, optimized geometry)
# - SG: P-31c, No. 163
# - V: 568.6 Å³/cell
# - Total magnetization: 0.00 μB/cell
data_NaTlRhBr6
_symmetry_space_group_name_H-M 'P 1'
_symmetry_Int_Tables_number 1
_cell_length_a 7.326
_cell_length_b 7.326
_cell_length_c 12.234
_cell_angle_alpha 90.00
_cell_angle_beta 90.00
_cell_angle_gamma 120.00
loop_
_symmetry_equiv_pos_as_xyz
'x,y,z'
loop_
_atom_site_label
_atom_site_type_symbol
_atom_site_fract_x
_atom_site_fract_y
_atom_site_fract_z
_atom_site_occupancy
Na1 Na 0.000 0.000 0.000 1
Na2 Na 0.000 0.000 0.500 1
Tl1 Tl 0.333 0.667 0.250 1
Tl2 Tl 0.667 0.333 0.750 1
Rh1 Rh 0.333 0.667 0.750 1
Rh2 Rh 0.667 0.333 0.250 1
Br1 Br 0.057 0.387 0.629 1
Br2 Br 0.057 0.670 0.871 1
Br3 Br 0.330 0.387 0.871 1
Br4 Br 0.330 0.943 0.629 1
Br5 Br 0.387 0.057 0.129 1
Br6 Br 0.387 0.330 0.371 1
Br7 Br 0.613 0.670 0.629 1
Br8 Br 0.613 0.943 0.871 1
Br9 Br 0.670 0.057 0.371 1
Br10 Br 0.670 0.613 0.129 1
Br11 Br 0.943 0.330 0.129 1
Br12 Br 0.943 0.613 0.371 1

(8)
# NaTl2RhBr6 (PBE, optimized geometry)
# - SG: P2_1/c, No. 14
# - V: 616.8 Å³/cell
# - Total magnetization: 0.00 μB/cell
data_NaTl2RhBr6
_symmetry_space_group_name_H-M 'P 1'
_symmetry_Int_Tables_number 1
_cell_length_a 7.388
_cell_length_b 7.766
_cell_length_c 12.968
_cell_angle_alpha 90.00
_cell_angle_beta 124.01
_cell_angle_gamma 90.00
loop_
_symmetry_equiv_pos_as_xyz
'x,y,z'
loop_
_atom_site_label
_atom_site_type_symbol
_atom_site_fract_x
_atom_site_fract_y
_atom_site_fract_z
_atom_site_occupancy
Na1 Na 0.000 0.000 0.000 1
Na2 Na 0.000 0.500 0.500 1
Tl1 Tl 0.228 0.075 0.752 1
Tl2 Tl 0.228 0.425 0.252 1
Tl3 Tl 0.772 0.575 0.748 1
Tl4 Tl 0.772 0.925 0.248 1
Rh1 Rh 0.500 0.000 0.500 1
Rh2 Rh 0.500 0.500 0.000 1
Br1 Br 0.180 0.175 0.462 1
Br2 Br 0.180 0.325 0.962 1
Br3 Br 0.290 0.724 0.463 1
Br4 Br 0.290 0.776 0.963 1
Br5 Br 0.354 0.010 0.272 1
Br6 Br 0.354 0.490 0.772 1
Br7 Br 0.646 0.510 0.228 1
Br8 Br 0.646 0.990 0.728 1
Br9 Br 0.710 0.224 0.037 1
Br10 Br 0.710 0.276 0.537 1
Br11 Br 0.820 0.675 0.038 1
Br12 Br 0.820 0.825 0.538 1

Uncorrected energy? In order: -12.70 -17.74 -12.26 -18.60 -19.59 -31.52 -54.05 -62.53 eV for the cell shown.